Density functional theory data (GGA-PBE) for crystalline Co2SbPt at its relaxed geometry.

Cell lengths 8.1751, 8.1751, 8.1751 Å; angles 21.26, 21.26, 21.26 degrees
Fractional coordinates of all 4 atoms:
Co 0.0000 0.0000 0.0000
Co 0.2649 0.2649 0.2649
Sb 0.5125 0.5125 0.5125
Pt 0.7511 0.7511 0.7511

## Properties
Formation energy from raw total energies (eV per atom): 0.346
Total moment (μB per atom): 0.860



Density functional theory data (GGA-PBE) for crystalline La3YHo5 at its relaxed geometry.

Cell lengths 7.4264, 7.4264, 12.8112 Å; angles 97.64, 97.64, 66.60 degrees
Fractional coordinates of all 18 atoms:
La 0.0000 0.0000 0.0000
La 0.0000 0.0000 0.5000
La 0.2664 0.2664 0.5379
La 0.3794 0.3794 0.7840
La 0.6206 0.6206 0.2160
La 0.7336 0.7336 0.4621
Y 0.1422 0.1422 0.2623
Y 0.8578 0.8578 0.7377
Ho 0.0691 0.6682 0.2166
Ho 0.2581 0.2581 0.0209
Ho 0.3220 0.6780 0.0000
Ho 0.3318 0.9309 0.7834
Ho 0.4441 0.4441 0.3785
Ho 0.5559 0.5559 0.6215
Ho 0.6682 0.0691 0.2166
Ho 0.6780 0.3220 0.0000
Ho 0.7419 0.7419 0.9791
Ho 0.9309 0.3318 0.7834

## Properties
Total moment (μB per atom): 0.000
Energy (eV/atom): -4.475



Density functional theory data (GGA-PBE) for crystalline Pr12Dy7Y at its relaxed geometry.

Cell lengths 8.9235, 8.9235, 8.9235 Å; angles 93.75, 93.75, 93.75 degrees
Fractional coordinates of all 20 atoms:
Pr 0.0228 0.0909 0.3541
Pr 0.0909 0.3541 0.0228
Pr 0.1829 0.7499 0.3194
Pr 0.2501 0.6806 0.8171
Pr 0.3194 0.1829 0.7499
Pr 0.3541 0.0228 0.0909
Pr 0.6459 0.9772 0.9091
Pr 0.6806 0.8171 0.2501
Pr 0.7499 0.3194 0.1829
Pr 0.8171 0.2501 0.6806
Pr 0.9091 0.6459 0.9772
Pr 0.9772 0.9091 0.6459
Dy 0.0000 0.0000 0.0000
Dy 0.1533 0.4167 0.4799
Dy 0.4167 0.4799 0.1533
Dy 0.4799 0.1533 0.4167
Dy 0.5201 0.8467 0.5833
Dy 0.5833 0.5201 0.8467
Dy 0.8467 0.5833 0.5201
Y 0.5000 0.5000 0.5000

## Properties
Energy above the lowest structure with this stoichiometry (meV/atom): 42
Total moment (μB per atom): 0.000